First-principles (PBE) data for a relaxed Na2ScPbI crystal, as listed in Alexandria via LeMat-Bulk.

Computed properties:
- space group = P4/mmm
- ΔE_f (raw) (kJ/mol of formula units) = 173.8
- total energy (eV per atom) = -2.4853
- total moment (μB/f.u.) = 1.1

Structure (POSCAR):
```
Na2ScPbI
1.0
6.607 0.000 0.000
0.000 5.385 0.000
0.000 0.000 6.607
I Na Pb Sc
1 2 1 1
Direct
0.500 0.500 0.500
0.000 0.000 0.500
0.500 0.000 0.000
0.000 0.500 0.000
0.000 0.000 0.000
```